A plane-wave DFT calculation with GGA-PBE was carried out for crystalline Pm12SmEr7 at its relaxed geometry.

Computed properties:
relative energy among the computed polymorphs = 0.154 eV/atom
calculated formation energy = 256.5 meV/atom

Structure (CIF):
```
data_Pm12SmEr7
_cell_length_a 19.6046
_cell_length_b 19.6046
_cell_length_c 6.1683
_cell_angle_alpha 90.00
_cell_angle_beta 90.00
_cell_angle_gamma 120.00
_space_group_name_H-M_alt 'R -3'
_space_group_IT_number 148
_space_group_name_Hall '-R 3'
loop_
_atom_site_label
_atom_site_fract_x
_atom_site_fract_y
_atom_site_fract_z
_atom_site_occupancy
Pm1 0.0006 0.4134 0.9998 1
Pm2 0.0974 0.5495 0.4645 1
Sm1 0.0000 0.0000 0.5000 1
Er1 0.0000 0.0000 0.0000 1
Er2 0.0807 0.9176 0.2912 1
```


A plane-wave DFT calculation with GGA-PBE was carried out for crystalline BIrC at its relaxed geometry.

Computed properties:
relative energy among the computed polymorphs = 0.367 eV/atom
calculated formation energy = 593.3 meV/atom

Structure (CIF):
```
data_BIrC
_cell_length_a 7.773
_cell_length_b 2.754
_cell_length_c 6.086
_cell_angle_alpha 90.00
_cell_angle_beta 120.08
_cell_angle_gamma 90.00
_space_group_name_H-M_alt 'C 1 2/m 1'
_space_group_IT_number 12
loop_
_space_group_symop_operation_xyz
'x,y,z'
'-x,-y,-z'
'-x,y,-z'
'x,-y,z'
'x+1/2,y+1/2,z'
'-x+1/2,-y+1/2,-z'
'-x+1/2,y+1/2,-z'
'x+1/2,-y+1/2,z'
loop_
_atom_site_label
_atom_site_fract_x
_atom_site_fract_y
_atom_site_fract_z
_atom_site_occupancy
B1 0.091 0.000 0.372 1
Ir1 0.247 0.000 0.786 1
C1 0.014 0.500 0.770 1
```


A plane-wave DFT calculation with GGA-PBE was carried out for crystalline Tl2GaGe at its relaxed geometry.

Computed properties:
calculated formation energy = 235.4 meV/atom

Structure (CIF):
```
data_Tl2GaGe
_cell_length_a 3.2470
_cell_length_b 3.2470
_cell_length_c 34.2120
_cell_angle_alpha 90.00
_cell_angle_beta 90.00
_cell_angle_gamma 120.00
_space_group_name_H-M_alt 'R -3 m'
_space_group_IT_number 166
_space_group_name_Hall '-R 3 2"'
loop_
_atom_site_label
_atom_site_fract_x
_atom_site_fract_y
_atom_site_fract_z
_atom_site_occupancy
Tl1 0.0000 0.0000 0.0884 1
Ga1 0.0000 0.0000 0.0000 1
Ge1 0.0000 0.0000 0.5000 1
```


A plane-wave DFT calculation with GGA-PBE was carried out for crystalline Ac2ZrSb3Ir4 at its relaxed geometry.

Computed properties:
ΔE_f (raw) = -0.70 eV per atom

Structure (CIF):
```
data_Ac2ZrSb3Ir4
_cell_length_a 4.464
_cell_length_b 4.464
_cell_length_c 11.432
_cell_angle_alpha 90.00
_cell_angle_beta 90.00
_cell_angle_gamma 90.00
_space_group_name_H-M_alt 'P -4 m 2'
_space_group_IT_number 115
loop_
_space_group_symop_operation_xyz
'x,y,z'
'y,-x,-z'
'-x,-y,z'
'-y,x,-z'
'-x,y,z'
'-y,-x,-z'
'x,-y,z'
'y,x,-z'
loop_
_atom_site_label
_atom_site_fract_x
_atom_site_fract_y
_atom_site_fract_z
_atom_site_occupancy
Ac1 0.000 0.500 0.243 1
Zr1 0.000 0.000 0.500 1
Sb1 0.000 0.500 0.868 1
Sb2 0.500 0.500 0.500 1
Ir1 0.000 0.000 0.000 1
Ir2 0.000 0.500 0.636 1
Ir3 0.500 0.500 0.000 1
```


A plane-wave DFT calculation with GGA-PBE was carried out for crystalline Ac2Th2Pd15 at its relaxed geometry.

Computed properties:
calculated formation energy = -618.3 meV/atom

Structure (CIF):
```
data_Ac2Th2Pd15
_cell_length_a 9.4179
_cell_length_b 9.4179
_cell_length_c 14.4468
_cell_angle_alpha 90.00
_cell_angle_beta 90.00
_cell_angle_gamma 120.00
_space_group_name_H-M_alt 'R -3 m'
_space_group_IT_number 166
_space_group_name_Hall '-R 3 2"'
loop_
_atom_site_label
_atom_site_fract_x
_atom_site_fract_y
_atom_site_fract_z
_atom_site_occupancy
Ac1 0.0000 0.0000 0.1384 1
Th1 0.0000 0.0000 0.3895 1
Pd1 0.0000 0.3039 0.5000 1
Pd2 0.0000 0.5000 0.0000 1
Pd3 0.0027 0.5013 0.6546 1
```


A plane-wave DFT calculation with GGA-PBE was carried out for crystalline SrLiW2 at its relaxed geometry.

Computed properties:
relative energy among the computed polymorphs = 0.538 eV/atom
calculated formation energy = 1167.3 meV/atom

Structure (CIF):
```
data_SrLiW2
_cell_length_a 3.381
_cell_length_b 3.381
_cell_length_c 7.172
_cell_angle_alpha 90.00
_cell_angle_beta 90.00
_cell_angle_gamma 90.00
_space_group_name_H-M_alt 'P 4/m m m'
_space_group_IT_number 123
_space_group_name_Hall '-P 4 2'
loop_
_atom_site_label
_atom_site_fract_x
_atom_site_fract_y
_atom_site_fract_z
_atom_site_occupancy
Sr1 0.000 0.000 0.000 1
Li1 0.000 0.000 0.500 1
W1 0.500 0.500 0.340 1
```


A plane-wave DFT calculation with GGA-PBE was carried out for crystalline NaPrNd at its relaxed geometry.

Computed properties:
relative energy among the computed polymorphs = 0.048 eV/atom
calculated formation energy = 114.2 meV/atom

Structure (CIF):
```
data_NaPrNd
_cell_length_a 3.602
_cell_length_b 3.602
_cell_length_c 16.705
_cell_angle_alpha 90.00
_cell_angle_beta 90.00
_cell_angle_gamma 90.00
_space_group_name_H-M_alt 'I 4 m m'
_space_group_IT_number 107
_space_group_name_Hall 'I 4 -2'
loop_
_atom_site_label
_atom_site_fract_x
_atom_site_fract_y
_atom_site_fract_z
_atom_site_occupancy
Na1 0.000 0.000 0.000 1
Pr1 0.000 0.000 0.326 1
Nd1 0.000 0.000 0.673 1
```


A plane-wave DFT calculation with GGA-PBE was carried out for crystalline Li2MgCdP2 at its relaxed geometry.

Computed properties:
relative energy among the computed polymorphs = 0.347 eV/atom
calculated formation energy = -262.9 meV/atom

Structure (CIF):
```
data_Li2MgCdP2
_cell_length_a 3.888
_cell_length_b 3.888
_cell_length_c 7.041
_cell_angle_alpha 90.00
_cell_angle_beta 90.00
_cell_angle_gamma 90.00
_space_group_name_H-M_alt 'P -4 m 2'
_space_group_IT_number 115
loop_
_space_group_symop_operation_xyz
'x,y,z'
'y,-x,-z'
'-x,-y,z'
'-y,x,-z'
'-x,y,z'
'-y,-x,-z'
'x,-y,z'
'y,x,-z'
loop_
_atom_site_label
_atom_site_fract_x
_atom_site_fract_y
_atom_site_fract_z
_atom_site_occupancy
Li1 0.000 0.500 0.250 1
Mg1 0.000 0.000 0.500 1
Cd1 0.500 0.500 0.000 1
P1 0.000 0.000 0.000 1
P2 0.500 0.500 0.500 1
```


| no. | energy (eV per atom) |
| --- | --- |
| 1 | -4.43 |
| 2 | -7.66 |
| 3 | -2.86 |
| 4 | -7.16 |
| 5 | -5.93 |
| 6 | -6.21 |
| 7 | -3.51 |
| 8 | -3.12 |